# Li2Pd2PtO6 GGA-PBE optimized geometry
data_Li2Pd2PtO6
_chemical_formula_sum 'Li4 Pd4 Pt2 O12'
_cell_length_a 5.668
_cell_length_b 9.156
_cell_length_c 5.267
_cell_angle_alpha 90.00
_cell_angle_beta 112.70
_cell_angle_gamma 90.00
_space_group_name_H-M_alt 'C 1 2/m 1'
_space_group_IT_number 12
_space_group_name_Hall '-C 2y'
loop_
_atom_site_label
_atom_site_fract_x
_atom_site_fract_y
_atom_site_fract_z
Li1 0.000 0.178 0.000
Pd1 0.000 0.337 0.500
Pt1 0.000 0.000 0.500
O1 0.215 0.170 0.730
O2 0.238 0.000 0.288
# Formation energy without anion corrections ... -0.79 eV/atom
# Crystal system ... monoclinic


# Pa3TlH GGA-PBE optimized geometry
data_Pa3TlH
_chemical_formula_sum 'Pa3 Tl1 H1'
_cell_length_a 4.715
_cell_length_b 4.715
_cell_length_c 4.715
_cell_angle_alpha 90.00
_cell_angle_beta 90.00
_cell_angle_gamma 90.00
_space_group_name_H-M_alt 'P m -3 m'
_space_group_IT_number 221
_space_group_name_Hall '-P 4 2 3'
loop_
_atom_site_label
_atom_site_fract_x
_atom_site_fract_y
_atom_site_fract_z
Pa1 0.000 0.000 0.500
Tl1 0.500 0.500 0.500
H1 0.000 0.000 0.000
# Total energy ... -34.087 eV/f.u.
# Crystal system ... cubic


# Re2B2Os GGA-PBE optimized geometry
data_Re2B2Os
_chemical_formula_sum 'Re4 B4 Os2'
_cell_length_a 3.764
_cell_length_b 3.764
_cell_length_c 8.438
_cell_angle_alpha 90.00
_cell_angle_beta 90.00
_cell_angle_gamma 90.00
_space_group_name_H-M_alt 'I 4/m m m'
_space_group_IT_number 139
_space_group_name_Hall '-I 4 2'
loop_
_atom_site_label
_atom_site_fract_x
_atom_site_fract_y
_atom_site_fract_z
Re1 0.000 0.500 0.250
B1 0.000 0.000 0.102
Os1 0.000 0.000 0.500
# ΔE_f ... 2.84 eV/f.u.
# Crystal system ... tetragonal


# EuTmZnOs GGA-PBE optimized geometry
data_EuTmZnOs
_chemical_formula_sum 'Eu4 Tm4 Zn4 Os4'
_cell_length_a 6.971
_cell_length_b 6.971
_cell_length_c 6.971
_cell_angle_alpha 90.00
_cell_angle_beta 90.00
_cell_angle_gamma 90.00
_space_group_name_H-M_alt 'F -4 3 m'
_space_group_IT_number 216
_space_group_name_Hall 'F -4 2 3'
loop_
_atom_site_label
_atom_site_fract_x
_atom_site_fract_y
_atom_site_fract_z
Eu1 0.000 0.000 0.000
Tm1 0.000 0.000 0.500
Zn1 0.250 0.250 0.250
Os1 0.250 0.250 0.750
# ΔE_f ... -0.26 eV/f.u.
# Crystal system ... cubic


Number 1: spin magnetization 4.08 Bohr magnetons per cell, mass density 6820 kg/m3. Number 2: spin magnetization 0.00 Bohr magnetons per cell, mass density 14237 kg/m3. Number 3: spin magnetization 0.00 Bohr magnetons per cell, mass density 16234 kg/m3. Number 4: spin magnetization 27.40 Bohr magnetons per cell, mass density 11302 kg/m3.